[1]
PBE-GGA Na2CdCuBr6, optimized geometry; theoretical density = 3.9 Mg/m³; raw formation energy = -0.9067 eV per atom
1.0
7.605 -0.032 0.423
3.774 6.024 0.311
4.145 2.099 6.738
Na Cd Cu Br
2 1 1 6
direct
0.531 0.539 0.425 Na
0.001 0.021 0.956 Na
0.808 0.838 0.559 Cd
0.319 0.325 0.013 Cu
0.604 0.169 0.304 Br
0.223 0.966 0.225 Br
0.991 0.544 0.241 Br
0.425 0.685 0.771 Br
0.682 0.108 0.790 Br
0.079 0.467 0.730 Br

=====

[2]
PBE-GGA NbTl2Br6, optimized geometry; theoretical density = 5.3 Mg/m³; raw formation energy = -0.8682 eV per atom; offset from the most stable computed form = 0.008 eV per atom
1.0
-4.903 -1.384 5.778
2.543 -0.379 7.027
-1.683 5.455 4.838
Nb Tl Br
1 2 6
direct
0.000 0.000 0.000 Nb
0.764 0.750 0.750 Tl
0.236 0.250 0.250 Tl
0.193 0.285 0.798 Br
0.310 0.763 0.763 Br
0.193 0.798 0.285 Br
0.807 0.715 0.202 Br
0.690 0.237 0.237 Br
0.807 0.202 0.715 Br

=====

[3]
PBE-GGA Ca3OsCl, optimized geometry; theoretical density = 3.5 Mg/m³; raw formation energy = -0.0646 eV per atom; offset from the most stable computed form = 0.000 eV per atom
1.0
-2.847 3.104 -3.513
-3.084 -4.336 -1.330
-3.530 1.285 3.996
Ca Os Cl
3 1 1
direct
0.000 0.500 0.000 Ca
0.000 0.000 0.500 Ca
0.500 0.000 0.000 Ca
0.000 0.000 0.000 Os
0.500 0.500 0.500 Cl

=====

Copy entry 1 word for word.
PBE-GGA Na2CdCuBr6, optimized geometry; theoretical density = 3.9 Mg/m³; raw formation energy = -0.9067 eV per atom
1.0
7.605 -0.032 0.423
3.774 6.024 0.311
4.145 2.099 6.738
Na Cd Cu Br
2 1 1 6
direct
0.531 0.539 0.425 Na
0.001 0.021 0.956 Na
0.808 0.838 0.559 Cd
0.319 0.325 0.013 Cu
0.604 0.169 0.304 Br
0.223 0.966 0.225 Br
0.991 0.544 0.241 Br
0.425 0.685 0.771 Br
0.682 0.108 0.790 Br
0.079 0.467 0.730 Br

=====

What did the first record say?
PBE-GGA Na2CdCuBr6, optimized geometry; theoretical density = 3.9 Mg/m³; raw formation energy = -0.9067 eV per atom
1.0
7.605 -0.032 0.423
3.774 6.024 0.311
4.145 2.099 6.738
Na Cd Cu Br
2 1 1 6
direct
0.531 0.539 0.425 Na
0.001 0.021 0.956 Na
0.808 0.838 0.559 Cd
0.319 0.325 0.013 Cu
0.604 0.169 0.304 Br
0.223 0.966 0.225 Br
0.991 0.544 0.241 Br
0.425 0.685 0.771 Br
0.682 0.108 0.790 Br
0.079 0.467 0.730 Br

=====

> Look up the theoretical density of the first one.

3.9 Mg/m³